1.
## RbSb4Te6 (PBE-GGA)

Data for an optimized crystal structure of RbSb4Te6.

Summary:
* spin magnetization: 0.0 μB per cell
* polymorph energy (0 for the lowest one): 0 meV/atom
* raw formation energy: -0.22 eV/atom

Structure (CIF):
```
data_RbSb4Te6
_symmetry_space_group_name_H-M 'P 1'
_symmetry_Int_Tables_number 1
_cell_length_a 4.634
_cell_length_b 7.623
_cell_length_c 23.314
_cell_angle_alpha 90.00
_cell_angle_beta 90.00
_cell_angle_gamma 107.69
loop_
_symmetry_equiv_pos_as_xyz
'x,y,z'
loop_
_atom_site_label
_atom_site_fract_x
_atom_site_fract_y
_atom_site_fract_z
Rb1 0.653 0.307 0.250
Rb2 0.347 0.693 0.750
Sb1 0.863 0.726 0.537
Sb2 0.409 0.818 0.132
Sb3 0.137 0.274 0.463
Sb4 0.591 0.182 0.868
Sb5 0.863 0.726 0.963
Sb6 0.137 0.274 0.037
Sb7 0.591 0.182 0.632
Sb8 0.409 0.818 0.368
Te1 0.500 0.000 0.000
Te2 0.500 0.000 0.500
Te3 0.035 0.070 0.350
Te4 0.965 0.930 0.650
Te5 0.965 0.930 0.850
Te6 0.035 0.070 0.150
Te7 0.759 0.519 0.417
Te8 0.241 0.481 0.583
Te9 0.241 0.481 0.917
Te10 0.759 0.519 0.083
Te11 0.340 0.680 0.250
Te12 0.660 0.320 0.750
```

=====

2.
## Ba2NaSr2 (PBE-GGA)

Data for an optimized crystal structure of Ba2NaSr2.

Summary:
* spin magnetization: 0.0 μB per cell
* polymorph energy (0 for the lowest one): 110 meV/atom
* calculated formation energy: 0.1215 eV/atom

Structure (CIF):
```
data_Ba2NaSr2
_symmetry_space_group_name_H-M 'P 1'
_symmetry_Int_Tables_number 1
_cell_length_a 9.571
_cell_length_b 9.571
_cell_length_c 6.387
_cell_angle_alpha 90.00
_cell_angle_beta 90.00
_cell_angle_gamma 90.00
loop_
_symmetry_equiv_pos_as_xyz
'x,y,z'
loop_
_atom_site_label
_atom_site_fract_x
_atom_site_fract_y
_atom_site_fract_z
Sr1 0.355 0.855 0.000
Sr2 0.855 0.645 0.000
Sr3 0.645 0.145 0.000
Sr4 0.145 0.355 0.000
Ba1 0.164 0.664 0.500
Ba2 0.664 0.836 0.500
Ba3 0.836 0.336 0.500
Ba4 0.336 0.164 0.500
Na1 0.000 0.000 0.000
Na2 0.500 0.500 0.000
```

=====

3.
## Rb3Pu3CrS8 (PBE-GGA)

Data for an optimized crystal structure of Rb3Pu3CrS8.

Summary:
* spin magnetization: 1.8 μB per cell
* raw formation energy: -1.33 eV/atom

Structure (CIF):
```
data_Rb3Pu3CrS8
_symmetry_space_group_name_H-M 'P 1'
_symmetry_Int_Tables_number 1
_cell_length_a 7.936
_cell_length_b 7.967
_cell_length_c 9.045
_cell_angle_alpha 116.09
_cell_angle_beta 90.00
_cell_angle_gamma 119.87
loop_
_symmetry_equiv_pos_as_xyz
'x,y,z'
loop_
_atom_site_label
_atom_site_fract_x
_atom_site_fract_y
_atom_site_fract_z
Rb1 0.000 0.000 0.000
Rb2 0.000 0.500 0.000
Rb3 0.500 0.500 0.000
Pu1 0.500 0.000 0.500
Pu2 0.500 0.500 0.500
Pu3 0.000 0.500 0.500
Cr1 0.000 0.000 0.500
S1 0.268 0.537 0.307
S2 0.732 0.463 0.693
S3 0.788 0.577 0.326
S4 0.212 0.423 0.674
S5 0.787 0.035 0.324
S6 0.213 0.965 0.676
S7 0.248 0.035 0.324
S8 0.752 0.965 0.676
```

=====

4.
## TaTeI3 (PBE-GGA)

Data for an optimized crystal structure of TaTeI3.

Summary:
* spin magnetization: 4.1 μB per cell
* raw formation energy: 1.32 eV/atom

Structure (CIF):
```
data_TaTeI3
_symmetry_space_group_name_H-M 'P 1'
_symmetry_Int_Tables_number 1
_cell_length_a 6.046
_cell_length_b 6.046
_cell_length_c 6.046
_cell_angle_alpha 90.00
_cell_angle_beta 90.00
_cell_angle_gamma 90.00
loop_
_symmetry_equiv_pos_as_xyz
'x,y,z'
loop_
_atom_site_label
_atom_site_fract_x
_atom_site_fract_y
_atom_site_fract_z
I1 0.000 0.500 0.000
I2 0.000 0.000 0.500
I3 0.500 0.000 0.000
Te1 0.000 0.000 0.000
Ta1 0.500 0.500 0.500
```